Here is crystalline Be17NiMo at its relaxed geometry from Alexandria. Energies are from PBE.

a b c (Å): 5.474 5.474 5.474
angles (deg): 82.74 82.74 82.74
Atoms (fractional coordinates):
Be: 0.106 0.106 0.106
Be: 0.164 0.652 0.652
Be: 0.302 0.005 0.689
Be: 0.652 0.652 0.164
Be: 0.005 0.302 0.689
Be: 0.302 0.689 0.005
Be: 0.836 0.347 0.347
Be: 0.987 0.506 0.987
Be: 0.689 0.302 0.005
Be: 0.689 0.005 0.302
Be: 0.987 0.987 0.506
Be: 0.899 0.899 0.899
Be: 0.347 0.347 0.836
Be: 0.652 0.164 0.652
Be: 0.506 0.987 0.987
Be: 0.347 0.836 0.347
Be: 0.005 0.689 0.302
Mo: 0.660 0.660 0.660
Ni: 0.363 0.363 0.363

E_tot in eV/atom: -4.33
Magnetic moment in μB/cell: 0.0
Formation energy in eV per atom: -0.120

***

Here is crystalline KPtN at its relaxed geometry from Alexandria. Energies are from PBE.

a b c (Å): 3.732 3.732 9.260
angles (deg): 90.00 90.00 90.00
Atoms (fractional coordinates):
Pt: 0.000 0.000 0.000
Pt: 0.000 0.000 0.500
N: 0.500 0.000 0.000
N: 0.000 0.500 0.500
K: 0.500 0.500 0.250
K: 0.500 0.500 0.750

Polymorph energy (0 for the lowest one) in eV per formula unit: 0.00
E_tot in eV/atom: -5.25
Magnetic moment in μB/cell: 0.0

***

Here is crystalline KSrP2Cl at its relaxed geometry from Alexandria. Energies are from PBE.

a b c (Å): 5.363 5.363 5.541
angles (deg): 90.00 90.00 90.00
Each line ends with the local moment (μB).
Atoms (fractional coordinates):
Sr: 0.500 0.500 0.500  0.00
Cl: 0.000 0.000 0.500  0.07
K: 0.000 0.000 0.000  0.04
P: 0.500 0.000 0.000  0.27
P: 0.000 0.500 0.000  0.27

Polymorph energy (0 for the lowest one) in eV per formula unit: 2.08
E_tot in eV/atom: -2.85
Magnetic moment in μB/cell: 1.4